(1)
A plane-wave DFT calculation with PBE was carried out for a geometry-optimized KBa2NaZn structure.

POSCAR file:
```
KBa2NaZn
1.0
-5.477 2.936 -2.268
-3.686 -4.774 2.720
-0.396 3.240 5.150
Ba Zn K Na
2 1 1 1
Cartesian
-2.739 1.468 -1.134 Ba
-1.843 -2.387 1.360 Ba
0.000 0.000 0.000 Zn
-4.779 0.702 2.801 K
-0.198 1.620 2.575 Na
```

Results
energy of formation: 47 meV per atom

=====

(2)
A plane-wave DFT calculation with PBE was carried out for a geometry-optimized CePrAu structure.

POSCAR file:
```
CePrAu
1.0
3.771 0.000 0.000
0.000 4.934 0.000
0.000 -2.467 4.273
Pr Au Ce
1 1 1
Cartesian
2.514 2.467 1.424 Pr
1.179 0.000 2.849 Au
0.078 0.000 0.000 Ce
```

Results
energy of formation: -293 meV per atom

=====

(3)
A plane-wave DFT calculation with PBE was carried out for a geometry-optimized Se3IN structure.

POSCAR file:
```
Se3IN
1.0
-4.363 1.454 -0.367
-0.508 -0.371 4.570
1.411 4.362 0.511
N Se I
1 3 1
Cartesian
0.000 0.000 0.000 N
-2.181 0.727 -0.184 Se
-0.254 -0.185 2.285 Se
0.705 2.181 0.255 Se
-1.730 2.723 2.357 I
```

Results
formation energy (no corrections): 1094 meV/atom

=====

Which energy above the lowest structure with this stoichiometry belongs to each record? In order, 0; 165; 0 meV/atom.
Which raw total energy belongs to each record? In order, -1.4605; -4.9563; -2.9723 eV per atom.